[1]
Below is a relaxed structure of Co2MoH, with properties calculated at the PBE level.

Its energy above the most stable polymorph in this dataset is 5.09 kcal/mol of atoms. As for the calculated volume: 40 Å³/cell.

Structure (CIF):
```
data_Co2MoH
_chemical_formula_sum 'Co2 Mo1 H1'
_space_group_name_H-M_alt 'P 1'
_space_group_IT_number 1
_cell_length_a 2.5774
_cell_length_b 2.5774
_cell_length_c 6.0910
_cell_angle_alpha 90.00
_cell_angle_beta 90.00
_cell_angle_gamma 90.00
loop_
_space_group_symop_operation_xyz
'x,y,z'
loop_
_atom_site_label
_atom_site_type_symbol
_atom_site_fract_x
_atom_site_fract_y
_atom_site_fract_z
_atom_site_occupancy
Co1 Co 0.0000 0.0000 0.1880 1
Co2 Co 0.0000 0.0000 0.8120 1
Mo1 Mo 0.5000 0.5000 0.5000 1
H1 H 0.5000 0.5000 0.0000 1
```

[2]
Below is a relaxed structure of Pm2BeGaNi6, with properties calculated at the PBE level.

For the raw total energy, the calculation gives -54.23 eV per cell. As for the calculated volume: 158 Å³/cell.

Structure (CIF):
```
data_Pm2BeGaNi6
_chemical_formula_sum 'Pm2 Be1 Ga1 Ni6'
_space_group_name_H-M_alt 'P 1'
_space_group_IT_number 1
_cell_length_a 6.0489
_cell_length_b 6.0489
_cell_length_c 7.7307
_cell_angle_alpha 127.45
_cell_angle_beta 127.45
_cell_angle_gamma 48.34
loop_
_space_group_symop_operation_xyz
'x,y,z'
loop_
_atom_site_label
_atom_site_type_symbol
_atom_site_fract_x
_atom_site_fract_y
_atom_site_fract_z
_atom_site_occupancy
Pm1 Pm 0.2474 0.2474 0.2945 1
Pm2 Pm 0.7526 0.7526 0.7055 1
Be1 Be 0.5000 0.5000 0.0000 1
Ga1 Ga 0.0000 0.0000 0.5000 1
Ni1 Ni 0.2392 0.7309 0.2236 1
Ni2 Ni 0.2525 0.2525 0.9145 1
Ni3 Ni 0.2691 0.7608 0.7764 1
Ni4 Ni 0.7309 0.2392 0.2236 1
Ni5 Ni 0.7475 0.7475 0.0855 1
Ni6 Ni 0.7608 0.2691 0.7764 1
```

[3]
Below is a relaxed structure of Nb2ReAgRu, with properties calculated at the PBE level.

For the raw total energy, the calculation gives -36.46 eV per cell. As for the calculated volume: 106 Å³/cell.

Structure (CIF):
```
data_Nb2ReAgRu
_chemical_formula_sum 'Nb2 Re1 Ag1 Ru1'
_space_group_name_H-M_alt 'P 1'
_space_group_IT_number 1
_cell_length_a 4.6676
_cell_length_b 4.6676
_cell_length_c 4.8628
_cell_angle_alpha 90.00
_cell_angle_beta 90.00
_cell_angle_gamma 90.00
loop_
_space_group_symop_operation_xyz
'x,y,z'
loop_
_atom_site_label
_atom_site_type_symbol
_atom_site_fract_x
_atom_site_fract_y
_atom_site_fract_z
_atom_site_occupancy
Nb1 Nb 0.0000 0.5000 0.0000 1
Nb2 Nb 0.5000 0.0000 0.0000 1
Re1 Re 0.0000 0.0000 0.5000 1
Ag1 Ag 0.5000 0.5000 0.5000 1
Ru1 Ru 0.5000 0.5000 0.0000 1
```

[4]
Below is a relaxed structure of Al2MoCl, with properties calculated at the PBE level.

The formation energy without anion corrections comes out at 0.035 eV per atom. Its energy above the most stable polymorph in this dataset is 9.13 kcal/mol of atoms. As for the calculated volume: 133 Å³/cell.

Structure (CIF):
```
data_Al2MoCl
_chemical_formula_sum 'Al4 Mo2 Cl2'
_space_group_name_H-M_alt 'P 1'
_space_group_IT_number 1
_cell_length_a 6.1338
_cell_length_b 7.5580
_cell_length_c 2.8602
_cell_angle_alpha 90.00
_cell_angle_beta 90.00
_cell_angle_gamma 90.00
loop_
_space_group_symop_operation_xyz
'x,y,z'
loop_
_atom_site_label
_atom_site_type_symbol
_atom_site_fract_x
_atom_site_fract_y
_atom_site_fract_z
_atom_site_occupancy
Al1 Al 0.2500 0.2500 0.0000 1
Al2 Al 0.2500 0.7500 0.0000 1
Al3 Al 0.7500 0.2500 0.0000 1
Al4 Al 0.7500 0.7500 0.0000 1
Mo1 Mo 0.0000 0.0000 0.5000 1
Mo2 Mo 0.5000 0.5000 0.5000 1
Cl1 Cl 0.0000 0.5000 0.5000 1
Cl2 Cl 0.5000 0.0000 0.5000 1
```

[5]
Below is a relaxed structure of Ho3Sc2, with properties calculated at the PBE level.

Its energy above the most stable polymorph in this dataset is 0.00 kcal/mol of atoms. As for the calculated volume: 285 Å³/cell.

Structure (CIF):
```
data_Ho3Sc2
_chemical_formula_sum 'Ho6 Sc4'
_space_group_name_H-M_alt 'P 1'
_space_group_IT_number 1
_cell_length_a 6.4472
_cell_length_b 6.4472
_cell_length_c 8.8348
_cell_angle_alpha 107.67
_cell_angle_beta 107.67
_cell_angle_gamma 55.73
loop_
_space_group_symop_operation_xyz
'x,y,z'
loop_
_atom_site_label
_atom_site_type_symbol
_atom_site_fract_x
_atom_site_fract_y
_atom_site_fract_z
_atom_site_occupancy
Ho1 Ho 0.0269 0.3625 0.6494 1
Ho2 Ho 0.1752 0.8248 0.7500 1
Ho3 Ho 0.3625 0.0269 0.1494 1
Ho4 Ho 0.6375 0.9731 0.8506 1
Ho5 Ho 0.8248 0.1752 0.2500 1
Ho6 Ho 0.9731 0.6375 0.3506 1
Sc1 Sc 0.2335 0.5626 0.0494 1
Sc2 Sc 0.4374 0.7665 0.4506 1
Sc3 Sc 0.5626 0.2335 0.5494 1
Sc4 Sc 0.7665 0.4374 0.9506 1
```

[6]
Below is a relaxed structure of HfTi2Hg2, with properties calculated at the PBE level.

Its energy above the most stable polymorph in this dataset is 3.29 kcal/mol of atoms. As for the calculated volume: 199 Å³/cell.

Structure (CIF):
```
data_HfTi2Hg2
_chemical_formula_sum 'Hf2 Ti4 Hg4'
_space_group_name_H-M_alt 'P 1'
_space_group_IT_number 1
_cell_length_a 8.1067
_cell_length_b 8.1067
_cell_length_c 3.0252
_cell_angle_alpha 90.00
_cell_angle_beta 90.00
_cell_angle_gamma 90.00
loop_
_space_group_symop_operation_xyz
'x,y,z'
loop_
_atom_site_label
_atom_site_type_symbol
_atom_site_fract_x
_atom_site_fract_y
_atom_site_fract_z
_atom_site_occupancy
Hf1 Hf 0.0000 0.0000 0.0000 1
Hf2 Hf 0.5000 0.5000 0.0000 1
Ti1 Ti 0.1144 0.3856 0.0000 1
Ti2 Ti 0.3856 0.8856 0.0000 1
Ti3 Ti 0.6144 0.1144 0.0000 1
Ti4 Ti 0.8856 0.6144 0.0000 1
Hg1 Hg 0.1812 0.6812 0.5000 1
Hg2 Hg 0.3188 0.1812 0.5000 1
Hg3 Hg 0.6812 0.8188 0.5000 1
Hg4 Hg 0.8188 0.3188 0.5000 1
```

[7]
Below is a relaxed structure of Ce2ThH, with properties calculated at the PBE level.

Its energy above the most stable polymorph in this dataset is 3.45 kcal/mol of atoms. As for the calculated volume: 87 Å³/cell.

Structure (CIF):
```
data_Ce2ThH
_chemical_formula_sum 'Ce2 Th1 H1'
_space_group_name_H-M_alt 'P 1'
_space_group_IT_number 1
_cell_length_a 3.2651
_cell_length_b 3.2651
_cell_length_c 8.1269
_cell_angle_alpha 90.00
_cell_angle_beta 90.00
_cell_angle_gamma 90.00
loop_
_space_group_symop_operation_xyz
'x,y,z'
loop_
_atom_site_label
_atom_site_type_symbol
_atom_site_fract_x
_atom_site_fract_y
_atom_site_fract_z
_atom_site_occupancy
Ce1 Ce 0.0000 0.0000 0.1748 1
Ce2 Ce 0.0000 0.0000 0.8252 1
Th1 Th 0.5000 0.5000 0.5000 1
H1 H 0.5000 0.5000 0.0000 1
```

[8]
Below is a relaxed structure of BTe2Ir, with properties calculated at the PBE level.

The formation energy without anion corrections comes out at 0.692 eV per atom. As for the calculated volume: 296 Å³/cell.

Structure (CIF):
```
data_BTe2Ir
_chemical_formula_sum 'B3 Te6 Ir3'
_space_group_name_H-M_alt 'P 1'
_space_group_IT_number 1
_cell_length_a 4.0851
_cell_length_b 4.0851
_cell_length_c 20.4513
_cell_angle_alpha 90.00
_cell_angle_beta 90.00
_cell_angle_gamma 120.00
loop_
_space_group_symop_operation_xyz
'x,y,z'
loop_
_atom_site_label
_atom_site_type_symbol
_atom_site_fract_x
_atom_site_fract_y
_atom_site_fract_z
_atom_site_occupancy
B1 B 0.0000 0.0000 0.0000 1
B2 B 0.3333 0.6667 0.6667 1
B3 B 0.6667 0.3333 0.3333 1
Te1 Te 0.0000 0.0000 0.1017 1
Te2 Te 0.0000 0.0000 0.8983 1
Te3 Te 0.3333 0.6667 0.5649 1
Te4 Te 0.3333 0.6667 0.7684 1
Te5 Te 0.6667 0.3333 0.2316 1
Te6 Te 0.6667 0.3333 0.4351 1
Ir1 Ir 0.0000 0.0000 0.5000 1
Ir2 Ir 0.3333 0.6667 0.1667 1
Ir3 Ir 0.6667 0.3333 0.8333 1
```

[9]
Below is a relaxed structure of CaZr2Si, with properties calculated at the PBE level.

The formation energy without anion corrections comes out at 0.016 eV per atom. As for the calculated volume: 173 Å³/cell.

Structure (CIF):
```
data_CaZr2Si
_chemical_formula_sum 'Ca2 Zr4 Si2'
_space_group_name_H-M_alt 'P 1'
_space_group_IT_number 1
_cell_length_a 4.2923
_cell_length_b 4.2923
_cell_length_c 9.4010
_cell_angle_alpha 90.00
_cell_angle_beta 90.00
_cell_angle_gamma 90.00
loop_
_space_group_symop_operation_xyz
'x,y,z'
loop_
_atom_site_label
_atom_site_type_symbol
_atom_site_fract_x
_atom_site_fract_y
_atom_site_fract_z
_atom_site_occupancy
Ca1 Ca 0.0000 0.0000 0.0000 1
Ca2 Ca 0.5000 0.5000 0.5000 1
Zr1 Zr 0.0000 0.0000 0.5000 1
Zr2 Zr 0.0000 0.5000 0.2500 1
Zr3 Zr 0.5000 0.0000 0.7500 1
Zr4 Zr 0.5000 0.5000 0.0000 1
Si1 Si 0.0000 0.5000 0.7500 1
Si2 Si 0.5000 0.0000 0.2500 1
```